(1)
Entry from Alexandria via LeMat-Bulk: crystalline HOs3I at its relaxed geometry (PBE).

The space group is Pm-3m (No. 221) and the conventional cell measures 4.070, 4.070 and 4.070 Å, with angles of 90.00, 90.00 and 90.00 degrees. The distinct sites, in fractional coordinates, are H at (0.000, 0.000, 0.000), Os at (0.000, 0.000, 0.500) and I at (0.500, 0.500, 0.500).

The value obtained for the excess energy over the best structure of this formula in the dataset is 0.000 eV/atom.


(2)
Entry from Alexandria via LeMat-Bulk: crystalline BaMnGa2Sn at its relaxed geometry (PBE).

The space group is P4/mmm (No. 123) and the conventional cell measures 4.837, 4.837 and 4.985 Å, with angles of 90.00, 90.00 and 90.00 degrees. The distinct sites, in fractional coordinates, are Ba at (0.000, 0.000, 0.000), Mn at (0.500, 0.500, 0.500), Ga at (0.000, 0.500, 0.500) and Sn at (0.500, 0.500, 0.000).

For the formation energy, the calculation gives -274.3 meV per atom.


(3)
Entry from Alexandria via LeMat-Bulk: crystalline Rb3OsPb3O8 at its relaxed geometry (PBE).

The space group is C2/m (No. 12) and the conventional cell measures 12.430, 7.195 and 7.754 Å, with angles of 90.00, 122.21 and 90.00 degrees. The distinct sites, in fractional coordinates, are Rb at (0.000, 0.000, 0.000), Rb at (0.250, 0.250, 0.000), Os at (0.000, 0.000, 0.500), Pb at (0.000, 0.500, 0.500), Pb at (0.250, 0.250, 0.500), O at (0.011, 0.198, 0.336), O at (0.186, 0.000, 0.665) and O at (0.234, 0.500, 0.698).

The uncorrected formation energy is -1195 meV per atom.


(4)
Entry from Alexandria via LeMat-Bulk: crystalline Ba12Zn2In5 at its relaxed geometry (PBE).

The space group is C2/m (No. 12) and the conventional cell measures 19.137, 8.553 and 11.461 Å, with angles of 90.00, 99.34 and 90.00 degrees. The distinct sites, in fractional coordinates, are Ba at (0.015, 0.000, 0.284), Ba at (0.046, 0.500, 0.828), Ba at (0.152, 0.253, 0.575), Ba at (0.180, 0.248, 0.115), Zn at (0.000, 0.159, 0.000), In at (0.000, 0.500, 0.500), In at (0.159, 0.000, 0.859) and In at (0.200, 0.000, 0.358).

For the formation energy, the calculation gives -152.3 meV per atom.


Number 1: E -6.434 eV per atom. Number 2: E -4.504 eV per atom. Number 3: E -5.523 eV per atom. Number 4: E -2.221 eV per atom.